Entry 1:
The following is a DFT calculation (PBE) of a relaxed structure of CaTaTi2Cr.

Output
The density of states at the Fermi level is 11.3 states/eV/f.u. The value obtained for the formation energy is 0.984 eV/atom. Its symmetry is P4/mmm, No. 123. For the total energy, the calculation gives -0.5049 Ry per atom.

POSCAR file:
```
CaTaTi2Cr
1.0
-3.810 2.024 2.493
-2.898 -1.596 -3.133
-0.518 -4.206 2.622
Ta Ti Cr Ca
1 2 1 1
direct
0.000 0.000 0.000
0.000 0.000 0.500
0.500 0.000 0.000
0.000 0.500 0.000
0.500 0.500 0.500
```

---

Entry 2:
The following is a DFT calculation (PBE) of a relaxed structure of CaTaCr2W.

Output
The density of states at the Fermi level is 3.9 states/eV/f.u. The value obtained for the formation energy is 1.380 eV/atom. Its symmetry is P4/mmm, No. 123. For the total energy, the calculation gives -0.5756 Ry per atom.

POSCAR file:
```
CaTaCr2W
1.0
4.836 0.000 0.000
0.000 4.914 0.000
0.000 0.000 4.836
Ca Ta W Cr
1 1 1 2
direct
0.500 0.500 0.500
0.000 0.000 0.000
0.000 0.500 0.000
0.000 0.000 0.500
0.500 0.000 0.000
```